Record 1
Below is crystalline LiMn8O16 at its relaxed geometry, with properties calculated at the PBEsol level.

Cell: 5.675 5.675 8.019 Å, 90.00 90.00 90.00°
Fractional positions:
Li 0.000 0.000 0.000
Mn 0.000 0.251 0.623
Mn 0.000 0.749 0.623
Mn 0.251 0.000 0.377
Mn 0.253 0.500 0.874
Mn 0.500 0.253 0.126
Mn 0.500 0.747 0.126
Mn 0.747 0.500 0.874
Mn 0.749 0.000 0.377
O 0.000 0.222 0.389
O 0.000 0.276 0.862
O 0.000 0.724 0.862
O 0.000 0.778 0.389
O 0.222 0.000 0.611
O 0.222 0.500 0.639
O 0.276 0.000 0.138
O 0.278 0.500 0.111
O 0.500 0.222 0.361
O 0.500 0.278 0.889
O 0.500 0.722 0.889
O 0.500 0.778 0.361
O 0.722 0.500 0.111
O 0.724 0.000 0.138
O 0.778 0.000 0.611
O 0.778 0.500 0.639

Values from the calculation:
Total magnetic moment = 23.000 μB/f.u.
Raw formation energy = -41.78 eV/f.u.
SG = No. 115


Record 2
Below is crystalline Sr2TlI5 at its relaxed geometry, with properties calculated at the PBEsol level.

Cell: 9.757 8.836 14.113 Å, 90.00 90.18 90.00°
Fractional positions:
Sr 0.002 0.028 0.179
Sr 0.002 0.472 0.679
Sr 0.252 0.078 0.494
Sr 0.252 0.422 0.994
Sr 0.748 0.578 0.006
Sr 0.748 0.922 0.506
Sr 0.998 0.528 0.321
Sr 0.998 0.972 0.821
Tl 0.499 0.028 0.178
Tl 0.499 0.472 0.678
Tl 0.501 0.528 0.322
Tl 0.501 0.972 0.822
I 0.043 0.665 0.098
I 0.043 0.835 0.598
I 0.228 0.038 0.998
I 0.228 0.462 0.498
I 0.229 0.665 0.816
I 0.229 0.835 0.316
I 0.236 0.191 0.719
I 0.236 0.309 0.219
I 0.458 0.668 0.095
I 0.458 0.832 0.595
I 0.542 0.168 0.405
I 0.542 0.332 0.905
I 0.764 0.691 0.781
I 0.764 0.809 0.281
I 0.771 0.165 0.684
I 0.771 0.335 0.184
I 0.772 0.538 0.502
I 0.772 0.962 0.002
I 0.957 0.165 0.402
I 0.957 0.335 0.902

Values from the calculation:
Total magnetic moment = 0.000 μB/f.u.
Raw formation energy = -11.34 eV/f.u.
SG = No. 14


Record 3
Below is crystalline NbNiSN2 at its relaxed geometry, with properties calculated at the PBEsol level.

Cell: 3.684 3.684 4.199 Å, 90.00 90.00 90.00°
Fractional positions:
Nb 0.000 0.000 0.000
Ni 0.500 0.500 0.500
S 0.500 0.500 0.000
N 0.000 0.500 0.500
N 0.500 0.000 0.500

Values from the calculation:
Total magnetic moment = 0.001 μB/f.u.
Raw formation energy = 3.54 eV/f.u.
SG = No. 123


Record 4
Below is crystalline Re2H4O9 at its relaxed geometry, with properties calculated at the PBEsol level.

Cell: 4.955 8.952 8.554 Å, 90.00 104.69 90.00°
Fractional positions:
Re 0.079 0.250 0.067
Re 0.325 0.750 0.387
Re 0.675 0.250 0.613
Re 0.921 0.750 0.933
H 0.217 0.086 0.661
H 0.217 0.414 0.661
H 0.480 0.518 0.216
H 0.480 0.982 0.216
H 0.520 0.018 0.784
H 0.520 0.482 0.784
H 0.783 0.586 0.339
H 0.783 0.914 0.339
O 0.110 0.599 0.402
O 0.110 0.901 0.402
O 0.132 0.750 0.802
O 0.134 0.750 0.134
O 0.287 0.091 0.097
O 0.287 0.409 0.097
O 0.425 0.099 0.706
O 0.425 0.401 0.706
O 0.427 0.250 0.432
O 0.573 0.750 0.568
O 0.575 0.599 0.294
O 0.575 0.901 0.294
O 0.713 0.591 0.903
O 0.713 0.909 0.903
O 0.866 0.250 0.866
O 0.868 0.250 0.198
O 0.890 0.099 0.598
O 0.890 0.401 0.598

Values from the calculation:
Total magnetic moment = 0.000 μB/f.u.
DFT total energy = -7.0980 eV/atom
SG = No. 11


Record 5
Below is crystalline MgTcPt2 at its relaxed geometry, with properties calculated at the PBEsol level.

Cell: 9.027 9.027 9.027 Å, 17.72 17.72 17.72°
Fractional positions:
Mg 0.000 0.000 0.000
Tc 0.500 0.500 0.500
Pt 0.249 0.249 0.249
Pt 0.751 0.751 0.751

Values from the calculation:
Total magnetic moment = 0.000 μB/f.u.
SG = No. 166
E_form = -0.252 eV/atom


Record 6
Below is crystalline Na3WO4F at its relaxed geometry, with properties calculated at the PBEsol level.

Cell: 5.562 7.527 12.886 Å, 90.00 90.00 90.00°
Fractional positions:
Na 0.224 0.038 0.179
Na 0.224 0.462 0.179
Na 0.226 0.750 0.894
Na 0.274 0.250 0.394
Na 0.276 0.538 0.679
Na 0.276 0.962 0.679
Na 0.724 0.038 0.321
Na 0.724 0.462 0.321
Na 0.726 0.750 0.606
Na 0.774 0.250 0.106
Na 0.776 0.538 0.821
Na 0.776 0.962 0.821
W 0.209 0.750 0.416
W 0.291 0.250 0.916
W 0.709 0.750 0.084
W 0.791 0.250 0.584
O 0.115 0.250 0.580
O 0.177 0.250 0.045
O 0.188 0.056 0.849
O 0.188 0.444 0.849
O 0.312 0.556 0.349
O 0.312 0.944 0.349
O 0.323 0.750 0.545
O 0.385 0.750 0.080
O 0.615 0.250 0.920
O 0.677 0.250 0.455
O 0.688 0.056 0.651
O 0.688 0.444 0.651
O 0.812 0.556 0.151
O 0.812 0.944 0.151
O 0.823 0.750 0.955
O 0.885 0.750 0.420
F 0.005 0.750 0.731
F 0.495 0.250 0.231
F 0.505 0.750 0.769
F 0.995 0.250 0.269

Values from the calculation:
Total magnetic moment = 0.055 μB/f.u.
Raw formation energy = -20.08 eV/f.u.
SG = No. 62